DFT (PBE) results for a relaxed structure of Ta3VW2.

Results
total magnetic moment	0.0	μB per cell
ΔE_f	-0.06	eV per atom

Lattice parameters (Å, degrees): 3.2272 3.2272 9.6319 90.00 90.00 90.00
Fractional coordinates of all 6 atoms:
Ta: 0.0000 0.0000 0.0000
Ta: 0.0000 0.0000 0.3366
Ta: 0.0000 0.0000 0.6634
V: 0.5000 0.5000 0.5000
W: 0.5000 0.5000 0.1703
W: 0.5000 0.5000 0.8297